DFT (PBE-GGA) results for a relaxed Si2PbSe crystal.

Cell: 3.4059 3.4059 8.9509 Å, 90.00 90.00 119.09°
Positions (direct):
Pb (0.0000, 0.0000, 0.4729)
Se (0.5000, 0.5000, 0.8169)
Si (0.0000, 0.0000, 0.0071)
Si (0.5000, 0.5000, 0.2031)

## Properties
ΔE to the lowest computed polymorph (meV/atom): 305.8
V (A^3/atom): 22.7
Density of states at the Fermi level (states/eV per cell): 1.839
Magnetic moment (μB/atom): 0.000
ΔE_f (raw) (eV per formula unit): 1.48
Symmetry: No. 35

***

DFT (PBE-GGA) results for a relaxed Si2PbSe crystal.

Cell: 3.6809 3.6803 7.0213 Å, 90.00 90.00 90.00°
Positions (direct):
Pb (0.0000, 0.0000, 0.5412)
Se (0.5000, 0.5000, 0.7422)
Si (0.0000, 0.0000, 0.1261)
Si (0.5000, 0.5000, 0.0905)

## Properties
ΔE to the lowest computed polymorph (meV/atom): 167.5
V (A^3/atom): 23.8
Density of states at the Fermi level (states/eV per cell): 2.439
Magnetic moment (μB/atom): 0.000
ΔE_f (raw) (eV per formula unit): 0.92
Symmetry: No. 99

***

DFT (PBE-GGA) results for a relaxed Sm6Si2PbSe3 crystal.

Cell: 4.2301 8.6081 9.5474 Å, 103.25 102.80 90.00°
Positions (direct):
Sm (0.3283, 0.9023, 0.6566)
Sm (0.6707, 0.5760, 0.3415)
Sm (0.6717, 0.0977, 0.3434)
Sm (0.0042, 0.2640, 0.0083)
Sm (0.9958, 0.7360, 0.9917)
Sm (0.3293, 0.4240, 0.6585)
Si (0.8329, 0.6655, 0.6659)
Si (0.1671, 0.3345, 0.3341)
Pb (0.5000, 0.0000, 0.0000)
Se (0.5000, 0.5000, 0.0000)
Se (0.8346, 0.1681, 0.6692)
Se (0.1654, 0.8319, 0.3308)

## Properties
V (A^3/atom): 27.5
Density of states at the Fermi level (states/eV per cell): 3.383
Magnetic moment (μB/atom): 0.000
ΔE_f (raw) (eV per formula unit): -15.00
Symmetry: No. 12

***

DFT (PBE-GGA) results for a relaxed SrSiPbSe4 crystal.

Cell: 7.0855 6.9433 8.5357 Å, 90.00 107.91 90.00°
Positions (direct):
Sr (0.7589, 0.7500, 0.4419)
Sr (0.2411, 0.2500, 0.5581)
Si (0.2278, 0.7500, 0.2974)
Si (0.7722, 0.2500, 0.7026)
Pb (0.7644, 0.7500, 0.9372)
Pb (0.2356, 0.2500, 0.0628)
Se (0.9952, 0.5025, 0.7634)
Se (0.0048, 0.0025, 0.2366)
Se (0.0048, 0.4975, 0.2366)
Se (0.9952, 0.9975, 0.7634)
Se (0.4098, 0.7500, 0.1204)
Se (0.5902, 0.2500, 0.8796)
Se (0.3882, 0.7500, 0.5733)
Se (0.6118, 0.2500, 0.4267)

## Properties
V (A^3/atom): 28.5
Magnetic moment (μB/atom): 0.000
ΔE_f (raw) (eV per formula unit): -6.51
Symmetry: No. 11